(1)
The following is a PBE calculation of a geometry-optimized ZrTe3Cl structure, from Alexandria.

Cell: 5.562 5.562 5.562 Å, 90.00 90.00 90.00°
Positions (direct):
1 Cl 0.500 0.500 0.500
2 Te 0.500 0.000 0.000
3 Te 0.000 0.500 0.000
4 Zr 0.000 0.000 0.000
5 Te 0.000 0.000 0.500

Calculated volume = 172.05 Å³/cell
Relative energy among the computed polymorphs = 0.000 eV per atom
Size of the total moment = 0.00 μB per cell
Raw formation energy = -149.8 meV per atom
VASP energy = -4.114 eV/atom
SG = No. 221

(2)
The following is a PBE calculation of a geometry-optimized Tc2PbW structure, from Alexandria.

Cell: 2.973 3.912 6.083 Å, 90.00 90.00 90.00°
Positions (direct):
1 Tc 0.000 0.000 0.045
2 Tc 0.000 0.000 0.455
3 Pb 0.500 0.500 0.750
4 W 0.500 0.500 0.250

Calculated volume = 70.75 Å³/cell
Size of the total moment = 0.00 μB per cell
VASP energy = -8.817 eV/atom
Formation energy = 0.53 eV per atom
SG = No. 47

(3)
The following is a PBE calculation of a geometry-optimized UCuGe structure, from Alexandria.

Cell: 3.785 3.785 4.944 Å, 112.51 112.51 90.00°
Last column: magnetic moment on the atom in μB.
Positions (direct):
1 U 0.613 0.613 0.226  2.10
2 Ge 0.959 0.959 0.919  -0.02
3 Cu 0.278 0.278 0.555  -0.01

Calculated volume = 59.56 Å³/cell
Size of the total moment = 2.31 μB per cell
VASP energy = -6.379 eV/atom
Formation energy = 0.29 eV per atom
SG = No. 107

(4)
The following is a PBE calculation of a geometry-optimized Pr3Si2S8Br structure, from Alexandria.

Cell: 8.830 8.830 11.034 Å, 83.82 83.82 52.51°
Positions (direct):
1 S 0.856 0.712 0.915
2 S 0.555 0.743 0.158
3 Si 0.305 0.374 0.532
4 S 0.601 0.106 0.147
5 S 0.445 0.257 0.842
6 S 0.413 0.720 0.448
7 Pr 0.074 0.318 0.815
8 Pr 0.606 0.394 0.250
9 S 0.144 0.288 0.085
10 Pr 0.926 0.682 0.185
11 S 0.280 0.587 0.052
12 S 0.712 0.856 0.415
13 S 0.288 0.144 0.585
14 S 0.257 0.445 0.342
15 S 0.399 0.894 0.853
16 Br 0.999 0.001 0.750
17 Si 0.695 0.626 0.468
18 Pr 0.318 0.074 0.315
19 S 0.106 0.601 0.647
20 S 0.720 0.413 0.948
21 Pr 0.394 0.606 0.750
22 Si 0.626 0.695 0.968
23 Pr 0.682 0.926 0.685
24 Br 0.001 0.999 0.250
25 S 0.587 0.280 0.552
26 Si 0.374 0.305 0.032
27 S 0.894 0.399 0.353
28 S 0.743 0.555 0.658

Calculated volume = 677.80 Å³/cell
Size of the total moment = 0.00 μB per cell
Raw formation energy = -1494.9 meV per atom
VASP energy = -5.772 eV/atom
SG = No. 15

(5)
The following is a PBE calculation of a geometry-optimized AcSn4Pd2Rh structure, from Alexandria.

Cell: 4.634 4.634 10.046 Å, 76.66 76.66 60.00°
Positions (direct):
1 Pd 0.764 0.764 0.709
2 Pd 0.236 0.236 0.291
3 Sn 0.132 0.132 0.603
4 Rh 0.500 0.500 0.500
5 Sn 0.868 0.868 0.397
6 Sn 0.597 0.597 0.208
7 Ac 0.000 0.000 0.000
8 Sn 0.403 0.403 0.792

Calculated volume = 180.09 Å³/cell
Size of the total moment = 0.00 μB per cell
VASP energy = -5.247 eV/atom
Formation energy = -0.51 eV per atom
SG = No. 166

(6)
The following is a PBE calculation of a geometry-optimized Tl3Ni2Cl9 structure, from Alexandria.

Cell: 6.867 6.867 8.565 Å, 90.00 90.00 120.00°
Last column: magnetic moment on the atom in μB.
Positions (direct):
1 Cl 0.822 0.645 0.312  0.09
2 Ni 0.333 0.667 0.834  0.64
3 Cl 0.000 0.500 0.000  -0.01
4 Ni 0.667 0.333 0.166  0.64
5 Cl 0.178 0.822 0.688  0.09
6 Cl 0.178 0.355 0.688  0.09
7 Cl 0.500 0.500 0.000  -0.01
8 Cl 0.500 0.000 0.000  -0.01
9 Tl 0.333 0.667 0.348  0.00
10 Cl 0.645 0.822 0.688  0.09
11 Tl 0.667 0.333 0.652  0.00
12 Cl 0.355 0.178 0.312  0.09
13 Cl 0.822 0.178 0.312  0.09
14 Tl 0.000 0.000 0.000  0.01

Calculated volume = 349.85 Å³/cell
Size of the total moment = 1.99 μB per cell
Raw formation energy = -681.7 meV per atom
VASP energy = -3.202 eV/atom
SG = No. 164

(7)
The following is a PBE calculation of a geometry-optimized PmSm2Ho2Er structure, from Alexandria.

Cell: 5.632 9.794 7.005 Å, 90.00 90.00 90.00°
Positions (direct):
1 Sm 0.000 0.667 0.752
2 Sm 0.500 0.167 0.748
3 Ho 0.000 0.333 0.750
4 Ho 0.500 0.167 0.250
5 Sm 0.000 0.333 0.248
6 Sm 0.500 0.833 0.252
7 Ho 0.500 0.833 0.750
8 Er 0.000 0.000 0.500
9 Pm 0.500 0.500 0.500
10 Er 0.500 0.500 0.000
11 Pm 0.000 0.000 0.000
12 Ho 0.000 0.667 0.250

Calculated volume = 386.36 Å³/cell
Size of the total moment = 0.00 μB per cell
VASP energy = -4.586 eV/atom
Formation energy = 0.07 eV per atom
SG = No. 58

(8)
The following is a PBE calculation of a geometry-optimized CeSbAs structure, from Alexandria.

Cell: 4.802 4.802 3.934 Å, 90.00 90.00 120.00°
Last column: magnetic moment on the atom in μB.
Positions (direct):
1 As 0.333 0.667 0.499  0.00
2 Ce 0.000 0.000 0.000  0.68
3 Sb 0.667 0.333 0.500  0.00

Calculated volume = 78.54 Å³/cell
Relative energy among the computed polymorphs = 0.331 eV per atom
Size of the total moment = 0.78 μB per cell
Raw formation energy = -587.7 meV per atom
VASP energy = -5.490 eV/atom
SG = No. 187